Sm3Al9Au2 | PBE-GGA | optimized geometry

Summary:
total magnetic moment: 0.000 Bohr magnetons per cell
density of states at the Fermi level: 3.1 states/eV/cell
formation energy: -533 meV/atom
mass density: 6.48 g/cm3
crystal system: orthorhombic

```
data_Sm3Al9Au2
_symmetry_space_group_name_H-M 'P 1'
_symmetry_Int_Tables_number 1
_cell_length_a 4.3330
_cell_length_b 8.3805
_cell_length_c 8.3805
_cell_angle_alpha 75.70
_cell_angle_beta 75.02
_cell_angle_gamma 75.02
loop_
_symmetry_equiv_pos_as_xyz
'x,y,z'
loop_
_atom_site_label
_atom_site_type_symbol
_atom_site_fract_x
_atom_site_fract_y
_atom_site_fract_z
_atom_site_occupancy
Al1 Al 0.0000 0.5000 0.5000 1
Al2 Al 0.1318 0.5909 0.1455 1
Al3 Al 0.8682 0.4091 0.8545 1
Al4 Al 0.3363 0.2911 0.0363 1
Al5 Al 0.8682 0.8545 0.4091 1
Al6 Al 0.3363 0.0363 0.2911 1
Al7 Al 0.6637 0.9637 0.7089 1
Al8 Al 0.6637 0.7089 0.9637 1
Al9 Al 0.1318 0.1455 0.5909 1
Sm1 Sm 0.6864 0.3136 0.3136 1
Sm2 Sm 0.0000 0.0000 0.0000 1
Sm3 Sm 0.3136 0.6864 0.6864 1
Au1 Au 0.5000 0.2834 0.7166 1
Au2 Au 0.5000 0.7166 0.2834 1
```